# 1
## IrRhAuI (GGA-PBE)

Data for a geometry-optimized IrRhAuI structure.

Cell and atoms, written as extended XYZ:
```
4
Lattice="3.913 0.000 -0.002 0.000 3.785 0.000 -1.149 0.000 5.135" Properties=species:S:1:pos:R:3 pbc="T T T"
Ir 1.074 1.892 1.886
Au 0.019 1.892 4.307
Rh 2.009 0.000 3.771
I 3.154 0.000 1.348
```

## Properties
Raw formation energy ... 0.60 eV/atom
Offset from the most stable computed form ... 122 meV per atom
Total DFT energy (no corrections) ... -4.6598 eV/atom
Space-group type ... Pm (6)

# 2
## Cd2PtW (GGA-PBE)

Data for a geometry-optimized Cd2PtW structure.

Cell and atoms, written as extended XYZ:
```
4
Lattice="4.379 0.000 0.000 0.000 4.041 0.000 0.000 0.000 4.041" Properties=species:S:1:pos:R:3 pbc="T T T"
Cd 0.000 2.021 2.021
Cd 0.000 0.000 0.000
W 2.189 0.000 2.021
Pt 2.189 2.021 0.000
```

## Properties
Formation energy ... 0.431 eV per atom
Offset from the most stable computed form ... 385 meV per atom
Total DFT energy (no corrections) ... -4.7755 eV/atom
Space-group type ... P4/mmm (123)

# 3
## TlTe2MoN (GGA-PBE)

Data for a geometry-optimized TlTe2MoN structure.

Cell and atoms, written as extended XYZ:
```
5
Lattice="5.849 0.000 0.000 0.000 5.849 0.000 0.000 0.000 4.166" Properties=species:S:1:pos:R:3 pbc="T T T"
Te 0.000 2.924 0.000
Te 2.924 0.000 0.000
Mo 2.924 2.924 2.083
Tl 0.000 0.000 0.000
N 0.000 0.000 2.083
```

## Properties
Raw formation energy ... 1.68 eV/atom
Offset from the most stable computed form ... 1565 meV per atom
Total DFT energy (no corrections) ... -3.8801 eV/atom
Space-group type ... P4/mmm (123)

# 4
## LaZrNi10 (GGA-PBE)

Data for a geometry-optimized LaZrNi10 structure.

Cell and atoms, written as extended XYZ:
```
12
Lattice="3.971 0.000 0.000 0.000 4.864 0.000 0.000 0.000 8.466" Properties=species:S:1:pos:R:3 pbc="T T T"
La 0.000 0.000 0.000
Ni 1.985 1.247 2.214
Ni 1.985 1.247 6.252
Ni 0.000 0.000 5.566
Ni 0.000 2.432 6.940
Ni 0.000 2.432 1.526
Ni 1.985 0.000 4.233
Ni 1.985 2.432 0.000
Ni 0.000 0.000 2.901
Ni 1.985 3.617 2.214
Zr 0.000 2.432 4.233
Ni 1.985 3.617 6.252
```

## Properties
Formation energy ... -0.280 eV per atom
Total DFT energy (no corrections) ... -6.2211 eV/atom
Space-group type ... Pmmm (47)

# 5
## HfMg3Ge (GGA-PBE)

Data for a geometry-optimized HfMg3Ge structure.

Cell and atoms, written as extended XYZ:
```
5
Lattice="5.517 0.000 0.000 0.000 5.517 0.000 0.000 0.000 5.517" Properties=species:S:1:pos:R:3 pbc="T T T"
Mg 2.759 0.000 0.000
Mg 0.000 2.759 0.000
Hf 0.000 0.000 0.000
Mg 0.000 0.000 2.759
Ge 2.759 2.759 2.759
```

## Properties
Formation energy ... 1.347 eV per atom
Offset from the most stable computed form ... 781 meV per atom
Total DFT energy (no corrections) ... -2.5242 eV/atom
Space-group type ... Pm-3m (221)

# 6
## MgTi2CoSn (GGA-PBE)

Data for a geometry-optimized MgTi2CoSn structure.

Cell and atoms, written as extended XYZ:
```
5
Lattice="4.490 0.000 0.000 0.000 4.747 0.000 0.000 0.000 4.490" Properties=species:S:1:pos:R:3 pbc="T T T"
Mg 0.000 2.374 0.000
Ti 0.000 0.000 2.245
Co 0.000 0.000 0.000
Sn 2.245 2.374 2.245
Ti 2.245 0.000 0.000
```

## Properties
Formation energy ... 0.061 eV per atom
Total DFT energy (no corrections) ... -5.6374 eV/atom
Space-group type ... P4/mmm (123)

# 7
## BeIn2Cu2 (GGA-PBE)

Data for a geometry-optimized BeIn2Cu2 structure.

Cell and atoms, written as extended XYZ:
```
10
Lattice="-4.984 3.900 -0.243 -3.378 -4.498 -2.910 -1.279 -1.407 3.660" Properties=species:S:1:pos:R:3 pbc="T T T"
Cu -3.705 1.863 -0.579
In -3.747 -3.054 -0.160
In -2.859 -0.178 1.256
Cu -6.440 0.433 -2.084
Cu -1.922 -1.031 -1.068
Be -4.181 -0.299 -1.576
Cu -4.657 -2.461 -2.574
In -5.894 1.049 0.667
Be 0.000 0.000 0.000
In -6.782 -1.827 -0.749
```

## Properties
Formation energy ... 0.250 eV per atom
Offset from the most stable computed form ... 0 meV per atom
Total DFT energy (no corrections) ... -3.2289 eV/atom
Space-group type ... P4/mbm (127)

# 8
## PPtCl2 (GGA-PBE)

Data for a geometry-optimized PPtCl2 structure.

Cell and atoms, written as extended XYZ:
```
4
Lattice="1.780 0.000 8.881 -0.890 1.541 8.881 -0.890 -1.541 8.881" Properties=species:S:1:pos:R:3 pbc="T T T"
Cl 0.000 0.000 2.225
Pt 0.000 0.000 13.321
Cl 0.000 0.000 24.418
P 0.000 0.000 0.000
```

## Properties
Raw formation energy ... 0.57 eV/atom
Offset from the most stable computed form ... 1147 meV per atom
Total DFT energy (no corrections) ... -3.2151 eV/atom
Space-group type ... R-3m (166)

Repeat the third record exactly.
## TlTe2MoN (GGA-PBE)

Data for a geometry-optimized TlTe2MoN structure.

Cell and atoms, written as extended XYZ:
```
5
Lattice="5.849 0.000 0.000 0.000 5.849 0.000 0.000 0.000 4.166" Properties=species:S:1:pos:R:3 pbc="T T T"
Te 0.000 2.924 0.000
Te 2.924 0.000 0.000
Mo 2.924 2.924 2.083
Tl 0.000 0.000 0.000
N 0.000 0.000 2.083
```

## Properties
Raw formation energy ... 1.68 eV/atom
Offset from the most stable computed form ... 1565 meV per atom
Total DFT energy (no corrections) ... -3.8801 eV/atom
Space-group type ... P4/mmm (123)

Please write out number 6 again, unchanged.
## MgTi2CoSn (GGA-PBE)

Data for a geometry-optimized MgTi2CoSn structure.

Cell and atoms, written as extended XYZ:
```
5
Lattice="4.490 0.000 0.000 0.000 4.747 0.000 0.000 0.000 4.490" Properties=species:S:1:pos:R:3 pbc="T T T"
Mg 0.000 2.374 0.000
Ti 0.000 0.000 2.245
Co 0.000 0.000 0.000
Sn 2.245 2.374 2.245
Ti 2.245 0.000 0.000
```

## Properties
Formation energy ... 0.061 eV per atom
Total DFT energy (no corrections) ... -5.6374 eV/atom
Space-group type ... P4/mmm (123)

Question: Which formula does entry 5 have?
Answer: HfMg3Ge

Question: total DFT energy (no corrections) of number 8 (PPtCl2)?
Answer: -3.2151 eV/atom